Computed, not measured: a geometry-optimized DyHo4Er10 structure at the GGA-PBE level of DFT.

Geometry as CIF:
```
data_DyHo4Er10
_chemical_formula_sum 'Dy2 Ho8 Er20'
_symmetry_space_group_name_H-M 'I 4/m'
_symmetry_Int_Tables_number 87
_symmetry_space_group_name_Hall '-I 4'
_cell_length_a 12.010
_cell_length_b 12.010
_cell_length_c 7.584
_cell_angle_alpha 90.00
_cell_angle_beta 90.00
_cell_angle_gamma 90.00
loop_
_atom_site_label
_atom_site_type_symbol
_atom_site_fract_x
_atom_site_fract_y
_atom_site_fract_z
Dy1 Dy 0.000 0.000 0.000
Ho1 Ho 0.100 0.300 0.500
Er1 Er 0.000 0.500 0.250
Er2 Er 0.100 0.800 0.250
```

Values from the calculation:
* magnetic moment: 0.005 μB per atom
* energy of formation: 0.814 eV per atom
* total energy: -3.76 eV per atom